Sc3PdN | SCAN | single point on PBEsol structure

Cell lengths 4.337, 4.337, 4.337 Å; angles 90.00, 90.00, 90.00 degrees
Fractional coordinates of all 5 atoms:
Sc: 0.000 0.000 0.500
Sc: 0.000 0.500 0.000
Sc: 0.500 0.000 0.000
Pd: 0.500 0.500 0.500
N: 0.000 0.000 0.000

***

SrSc2PdN | SCAN | single point on PBEsol structure

Cell lengths 5.255, 5.255, 4.108 Å; angles 90.00, 90.00, 90.00 degrees
Fractional coordinates of all 5 atoms:
Sr: 0.000 0.000 0.000
Sc: 0.000 0.500 0.000
Sc: 0.500 0.000 0.000
Pd: 0.500 0.500 0.500
N: 0.000 0.000 0.500

***

For the records above, the corresponding energy relative to the elements, uncorrected values read -607.7; 715.3 kJ/mol of formula units.